VASP calculation (GGA-PBE) on an optimized crystal structure of Y2MgMn.

a b c (Å): 5.142 5.142 5.142
angles (deg): 60.00 60.00 60.00
Fractional positions:
Mg 0.500 0.500 0.500
Mn 0.250 0.250 0.250
Y 0.750 0.750 0.750
Y 0.000 0.000 0.000

Computed properties:
The calculation puts the uncorrected energy at -5.669 eV/atom.



VASP calculation (GGA-PBE) on an optimized crystal structure of Y2MgMn.

a b c (Å): 3.485 3.485 8.250
angles (deg): 90.00 90.00 90.00
Fractional positions:
Mn 0.500 0.500 0.726
Mg 0.000 0.000 0.548
Y 0.500 0.500 0.276
Y 0.000 0.000 0.950

Computed properties:
The calculation puts the uncorrected energy at -5.784 eV/atom.



VASP calculation (GGA-PBE) on an optimized crystal structure of YMg2Mn.

a b c (Å): 4.032 4.032 11.136
angles (deg): 79.57 79.57 90.00
Fractional positions:
Y 0.750 0.250 0.500
Mg 0.875 0.850 0.750
Y 0.000 0.000 0.000
Mn 0.500 0.500 0.000
Mg 0.600 0.125 0.250
Mn 0.250 0.750 0.500
Mg 0.150 0.625 0.250
Mg 0.375 0.400 0.750

Computed properties:
The calculation puts the uncorrected energy at -4.027 eV/atom.



VASP calculation (GGA-PBE) on an optimized crystal structure of YMg2Mn.

a b c (Å): 5.626 5.626 5.397
angles (deg): 70.99 70.99 34.49
Fractional positions:
Mg 0.013 0.013 0.961
Mg 0.773 0.773 0.771
Y 0.228 0.228 0.304
Mn 0.486 0.486 0.464

Computed properties:
The calculation puts the uncorrected energy at -4.516 eV/atom.



VASP calculation (GGA-PBE) on an optimized crystal structure of YMg2Mn.

a b c (Å): 6.169 6.169 6.169
angles (deg): 148.68 131.94 58.49
Fractional positions:
Mn 0.250 0.750 0.500
Mg 0.468 0.468 0.000
Y 0.750 0.250 0.500
Mg 0.032 0.032 0.000

Computed properties:
The calculation puts the uncorrected energy at -4.564 eV/atom.



VASP calculation (GGA-PBE) on an optimized crystal structure of Y2MgMn.

a b c (Å): 4.855 3.534 6.200
angles (deg): 73.56 90.00 90.00
Fractional positions:
Y 0.500 0.282 0.310
Mg 0.000 0.689 0.495
Y 0.000 0.970 0.937
Mn 0.500 0.559 0.758

Computed properties:
The calculation puts the uncorrected energy at -5.788 eV/atom.